# 1
Here is crystalline CaCr2Fe at its relaxed geometry from the Alexandria database. Energies are from PBE-GGA.

## Properties
- Energy above the lowest structure with this stoichiometry: 2.994 kcal/mol of atoms
- Size of the total moment: 2.25 μB per formula unit
- ΔE_f: 598 meV/atom
- Raw total energy: -27.32 eV/f.u.

a = 3.2546 Å, b = 3.2546 Å, c = 6.5252 Å
α = 90.00°, β = 90.00°, γ = 90.00°
Space group P4/mmm (No. 123)
Symmetry-distinct sites (fractional):
Ca1 0.0000 0.0000 0.0000 x1
Cr1 0.5000 0.5000 0.3519 x2
Fe1 0.0000 0.0000 0.5000 x1

=====

# 2
Here is crystalline CaLa2CrFe at its relaxed geometry from the Alexandria database. Energies are from PBE-GGA.

## Properties
- Size of the total moment: 1.82 μB per formula unit
- ΔE_f: 531 meV/atom
- Raw total energy: -27.29 eV/f.u.

a = 5.5835 Å, b = 5.5835 Å, c = 4.3386 Å
α = 90.00°, β = 90.00°, γ = 90.00°
Space group P4/mmm (No. 123)
Symmetry-distinct sites (fractional):
Ca1 0.0000 0.0000 0.0000 x1
La1 0.0000 0.5000 0.5000 x2
Cr1 0.5000 0.5000 0.5000 x1
Fe1 0.5000 0.5000 0.0000 x1